1.
DFT (PBE-GGA) results for Ce2ScAl after structural relaxation.

Unit cell a=3.9410 b=3.9410 c=6.6733 alpha=90.00 beta=90.00 gamma=90.00
Closest atoms and distances in Å follow each position.
Atoms (fractional coordinates):
Al (0.5000, 0.5000, 0.0000)  8 Ce 3.13, 2 Sc 3.34
Ce (0.0000, 0.0000, 0.2131)  1 Ce 2.84, 4 Al 3.13
Ce (0.0000, 0.0000, 0.7869)  1 Ce 2.84, 4 Al 3.13
Sc (0.5000, 0.5000, 0.5000)  2 Al 3.34, 8 Ce 3.38

## Properties
Calculated volume ... 25.911 A^3/atom
Energy ... -5.55 eV/atom
Mass density ... 5.642 Mg/m³
Energy above the most stable polymorph in this dataset ... 0.167 eV/atom
E_form ... -0.06 eV per atom
Density of states at the Fermi level ... 11.14 states/eV per cell

=====

2.
DFT (PBE-GGA) results for CeSc7Al4 after structural relaxation.

Unit cell a=5.0969 b=8.5971 c=7.0429 alpha=77.68 beta=68.79 gamma=72.76
Closest atoms and distances in Å follow each position.
Atoms (fractional coordinates):
Sc (0.7838, 0.8755, 0.5569)  4 Al 3.04-3.06, 6 Sc 3.09-3.37
Sc (0.9354, 0.3910, 0.7382)  5 Al 2.90-3.17, 1 Sc 3.09
Sc (0.3008, 0.6408, 0.7576)  4 Al 2.75-2.94
Sc (0.0646, 0.6090, 0.2618)  5 Al 2.90-3.17, 1 Sc 3.09
Sc (0.5000, 0.0000, 0.0000)  2 Ce 2.55, 4 Al 2.75-2.80
Sc (0.6992, 0.3592, 0.2424)  4 Al 2.75-2.94
Sc (0.2162, 0.1245, 0.4431)  4 Al 3.04-3.06, 6 Sc 3.09-3.37
Al (0.6786, 0.6685, 0.9743)  1 Al 2.70, 5 Sc 2.75-2.94
Al (0.4393, 0.7704, 0.3510)  1 Al 2.70, 4 Sc 2.75-2.96
Al (0.5607, 0.2296, 0.6490)  1 Al 2.70, 4 Sc 2.75-2.96
Al (0.3214, 0.3315, 0.0257)  1 Al 2.70, 5 Sc 2.75-2.94
Ce (0.0000, 0.0000, 0.0000)  2 Sc 2.55

## Properties
Calculated volume ... 22.734 A^3/atom
Energy ... -5.52 eV/atom
Mass density ... 3.425 Mg/m³
E_form ... -0.09 eV per atom
Density of states at the Fermi level ... 15.94 states/eV per cell

=====

3.
DFT (PBE-GGA) results for Ce2ScAl after structural relaxation.

Unit cell a=5.0377 b=6.3380 c=6.7311 alpha=118.10 beta=90.00 gamma=90.00
Closest atoms and distances in Å follow each position.
Atoms (fractional coordinates):
Ce (0.7500, 0.7115, 0.8745)  3 Ce 2.86-2.93
Ce (0.2500, 0.2885, 0.1255)  3 Ce 2.86-2.93
Ce (0.2500, 0.8371, 0.1255)  3 Ce 2.86-2.93
Ce (0.7500, 0.1629, 0.8745)  3 Ce 2.86-2.93
Al (0.2500, 0.8162, 0.6327)  4 Sc 2.95-3.17, 6 Ce 3.23-3.26
Al (0.7500, 0.1838, 0.3673)  4 Sc 2.95-3.17, 6 Ce 3.23-3.26
Sc (0.7500, 0.6868, 0.3732)  4 Al 2.95-3.17, 2 Ce 3.30
Sc (0.2500, 0.3132, 0.6268)  4 Al 2.95-3.17, 2 Ce 3.30

## Properties
Calculated volume ... 23.697 A^3/atom
Energy ... -5.72 eV/atom
Mass density ... 6.169 Mg/m³
Energy above the most stable polymorph in this dataset ... 0.000 eV/atom
E_form ... -0.23 eV per atom
Density of states at the Fermi level ... 15.91 states/eV per cell

=====

4.
DFT (PBE-GGA) results for CeSc5Al4 after structural relaxation.

Unit cell a=3.2078 b=3.2078 c=20.1121 alpha=90.00 beta=90.00 gamma=90.00
Closest atoms and distances in Å follow each position.
Atoms (fractional coordinates):
Al (0.0000, 0.0000, 0.7836)  8 Sc 2.95-2.97, 4 Al 3.21
Al (0.0000, 0.0000, 0.4055)  8 Sc 2.95-2.96, 4 Al 3.21
Al (0.0000, 0.0000, 0.2164)  8 Sc 2.95-2.97, 4 Al 3.21
Al (0.0000, 0.0000, 0.5945)  8 Sc 2.95-2.96, 4 Al 3.21
Sc (0.5000, 0.5000, 0.3116)  8 Al 2.95-2.97, 4 Sc 3.21
Sc (0.5000, 0.5000, 0.6884)  8 Al 2.95-2.97, 4 Sc 3.21
Sc (0.5000, 0.5000, 0.1229)  4 Al 2.95, 4 Sc 3.21
Sc (0.5000, 0.5000, 0.8771)  4 Al 2.95, 4 Sc 3.21
Sc (0.5000, 0.5000, 0.5000)  8 Al 2.96, 4 Sc 3.21
Ce (0.0000, 0.0000, 0.0000)  4 Ce 3.21, 8 Sc 3.36

## Properties
Calculated volume ... 20.696 A^3/atom
Energy ... -5.61 eV/atom
Mass density ... 3.794 Mg/m³
E_form ... -0.35 eV per atom
Density of states at the Fermi level ... 6.11 states/eV per cell

=====

5.
DFT (PBE-GGA) results for Ce2ScAl3 after structural relaxation.

Unit cell a=5.9566 b=5.9566 c=8.8698 alpha=90.00 beta=90.00 gamma=120.00
Closest atoms and distances in Å follow each position.
Atoms (fractional coordinates):
Ce (0.6667, 0.3333, 0.0832)  1 Ce 2.96
Ce (0.3333, 0.6667, 0.9168)  1 Ce 2.96
Ce (0.3333, 0.6667, 0.5831)  1 Ce 2.96
Ce (0.6667, 0.3333, 0.4168)  1 Ce 2.96
Al (0.8205, 0.1795, 0.7500)  2 Al 2.75, 2 Sc 2.89
Al (0.1795, 0.3590, 0.2500)  2 Al 2.75, 2 Sc 2.89
Al (0.8205, 0.6410, 0.7500)  2 Al 2.75, 2 Sc 2.89
Al (0.6410, 0.8205, 0.2500)  2 Al 2.75, 2 Sc 2.89
Al (0.1795, 0.8205, 0.2500)  2 Al 2.75, 2 Sc 2.89
Al (0.3590, 0.1795, 0.7500)  2 Al 2.75, 2 Sc 2.89
Sc (0.0000, 0.0000, 0.0000)  6 Al 2.89
Sc (0.0000, 0.0000, 0.5000)  6 Al 2.89

## Properties
Calculated volume ... 22.712 A^3/atom
Energy ... -5.28 eV/atom
Mass density ... 4.949 Mg/m³
Energy above the most stable polymorph in this dataset ... 0.000 eV/atom
E_form ... -0.37 eV per atom
Density of states at the Fermi level ... 20.40 states/eV per cell

=====

6.
DFT (PBE-GGA) results for CeSc3Al2 after structural relaxation.

Unit cell a=3.2805 b=3.2805 c=12.1002 alpha=90.00 beta=90.00 gamma=90.00
Closest atoms and distances in Å follow each position.
Atoms (fractional coordinates):
Al (0.5000, 0.5000, 0.8490)  8 Sc 2.94-2.95, 4 Al 3.28
Al (0.5000, 0.5000, 0.1510)  8 Sc 2.94-2.95, 4 Al 3.28
Sc (0.0000, 0.0000, 0.0000)  8 Al 2.95, 4 Sc 3.28
Sc (0.0000, 0.0000, 0.2999)  4 Al 2.94, 4 Sc 3.28
Sc (0.0000, 0.0000, 0.7001)  4 Al 2.94, 4 Sc 3.28
Ce (0.5000, 0.5000, 0.5000)  4 Ce 3.28, 8 Sc 3.35

## Properties
Calculated volume ... 21.704 A^3/atom
Energy ... -5.69 eV/atom
Mass density ... 4.195 Mg/m³
E_form ... -0.29 eV per atom
Density of states at the Fermi level ... 6.29 states/eV per cell